# 1
## BeAu2Se (PBE-GGA)

Data for a relaxed structure of BeAu2Se.

Lattice parameters (Å, degrees): 3.9159 3.9159 4.4660 90.00 90.00 90.00
Last column: nearest neighbours and their distance in Å.
Positions (direct):
Be1 0.0000 0.0000 0.0000  4 Se 2.77, 8 Au 2.97
Au1 0.0000 0.5000 0.5000  4 Au 2.77, 4 Se 2.97, 4 Be 2.97
Au2 0.5000 0.0000 0.5000  4 Au 2.77, 4 Se 2.97, 4 Be 2.97
Se1 0.5000 0.5000 0.0000  4 Be 2.77, 8 Au 2.97

Summary:
Formation energy from raw total energies   0.31 eV/atom
SG   P4/mmm

***

# 2
## NpH3Ru (PBE-GGA)

Data for a relaxed structure of NpH3Ru.

Lattice parameters (Å, degrees): 5.9253 5.9253 4.6584 90.00 90.00 141.55
Last column: nearest neighbours and their distance in Å.
Positions (direct):
Np1 0.1374 0.8626 0.5000  7 H 2.23-2.40
Np2 0.8626 0.1374 0.0000  7 H 2.23-2.40
H1 0.0892 0.9108 0.9977  2 Ru 1.95
H2 0.3027 0.6973 0.2188  1 Ru 1.73
H3 0.4392 0.5608 0.8590  2 Ru 1.75-1.83
H4 0.5608 0.4392 0.3590  2 Ru 1.75-1.83
H5 0.6973 0.3027 0.7188  1 Ru 1.73
H6 0.9108 0.0892 0.4977  2 Ru 1.95
Ru1 0.4070 0.5930 0.4921  3 H 1.73-1.83
Ru2 0.5930 0.4070 0.9921  3 H 1.73-1.83

Summary:
Raw total energy   -32.74 eV/f.u.
SG   Cmc2_1

***

# 3
## CaLa2CdCo (PBE-GGA)

Data for a relaxed structure of CaLa2CdCo.

Lattice parameters (Å, degrees): 5.2124 5.2124 5.6662 90.00 90.00 90.00
Last column: nearest neighbours and their distance in Å.
Positions (direct):
Ca1 0.0000 0.0000 0.0000  2 Co 2.83
La1 0.0000 0.5000 0.5000  2 Co 2.61
La2 0.5000 0.0000 0.5000  2 Co 2.61
Cd1 0.5000 0.5000 0.0000  4 Ca 3.69, 8 La 3.85
Co1 0.0000 0.0000 0.5000  4 La 2.61, 2 Ca 2.83

Summary:
E_form   -0.140 eV per atom
SG   P4/mmm

***

# 4
## Li2YGa2Ag2 (PBE-GGA)

Data for a relaxed structure of Li2YGa2Ag2.

Lattice parameters (Å, degrees): 4.6039 4.6039 7.5277 106.62 106.62 59.25
Last column: nearest neighbours and their distance in Å.
Positions (direct):
Li1 0.1394 0.1394 0.4278  1 Ag 2.55, 1 Li 2.78
Li2 0.8606 0.8606 0.5722  1 Ag 2.55, 1 Li 2.78
Y1 0.0000 0.0000 0.0000  2 Li 3.04, 6 Ag 3.05-3.06, 6 Ga 3.27-3.35
Ga1 0.4240 0.4240 0.2762  3 Ag 2.68-2.69, 3 Li 2.86
Ga2 0.5760 0.5760 0.7238  3 Ag 2.68-2.69, 3 Li 2.86
Ag1 0.2641 0.2641 0.7855  1 Li 2.55, 3 Ga 2.68-2.69
Ag2 0.7359 0.7359 0.2145  1 Li 2.55, 3 Ga 2.68-2.69

Summary:
E_form   -0.339 eV per atom
SG   C2/m

***

# 5
## ThScGa5Pd2 (PBE-GGA)

Data for a relaxed structure of ThScGa5Pd2.

Lattice parameters (Å, degrees): 4.8421 4.8421 7.6903 90.00 90.00 90.00
Last column: nearest neighbours and their distance in Å.
Positions (direct):
Th1 0.0000 0.0000 0.0000  12 Ga 3.20-3.42
Sc1 0.0000 0.0000 0.5000  8 Ga 2.99
Ga1 0.0000 0.5000 0.2724  2 Pd 2.46
Ga2 0.0000 0.5000 0.7276  2 Pd 2.46
Ga3 0.5000 0.0000 0.2724  2 Pd 2.46
Ga4 0.5000 0.0000 0.7276  2 Pd 2.46
Ga5 0.5000 0.5000 0.0000  2 Pd 2.54
Pd1 0.5000 0.5000 0.3297  5 Ga 2.46-2.54, 1 Pd 2.62
Pd2 0.5000 0.5000 0.6703  5 Ga 2.46-2.54, 1 Pd 2.62

Summary:
E_form   -0.362 eV per atom
SG   P4/mmm

***

# 6
## SnIrS (PBE-GGA)

Data for a relaxed structure of SnIrS.

Lattice parameters (Å, degrees): 4.1002 4.2140 4.3970 97.13 92.34 102.86
Last column: nearest neighbours and their distance in Å.
Positions (direct):
Sn1 0.0000 0.0000 0.0000  3 Ir 2.63-2.72, 1 S 2.71
Ir1 0.5935 0.4047 0.0421  2 S 2.24-2.28
S1 0.6473 0.5342 0.5550  2 Ir 2.24-2.28

Summary:
Formation energy from raw total energies   0.01 eV/atom
SG   P1

***

# 7
## PrDy12Y3 (PBE-GGA)

Data for a relaxed structure of PrDy12Y3.

Lattice parameters (Å, degrees): 5.0351 5.0351 20.1276 90.00 90.00 90.00
Last column: nearest neighbours and their distance in Å.
Positions (direct):
Pr1 0.0000 0.0000 0.0000  12 Dy 3.56-3.58
Dy1 0.0000 0.5000 0.1265  2 Y 3.55, 8 Dy 3.56-3.58, 2 Pr 3.58
Dy2 0.0000 0.5000 0.3755  8 Dy 3.55-3.56, 4 Y 3.55
Dy3 0.0000 0.5000 0.6245  8 Dy 3.55-3.56, 4 Y 3.55
Dy4 0.0000 0.5000 0.8735  2 Y 3.55, 8 Dy 3.56-3.58, 2 Pr 3.58
Dy5 0.5000 0.0000 0.1265  2 Y 3.55, 8 Dy 3.56-3.58, 2 Pr 3.58
Dy6 0.5000 0.0000 0.3755  8 Dy 3.55-3.56, 4 Y 3.55
Dy7 0.5000 0.0000 0.6245  8 Dy 3.55-3.56, 4 Y 3.55
Dy8 0.5000 0.0000 0.8735  2 Y 3.55, 8 Dy 3.56-3.58, 2 Pr 3.58
Dy9 0.5000 0.5000 0.0000  4 Pr 3.56, 8 Dy 3.58
Dy10 0.5000 0.5000 0.2515  8 Dy 3.55-3.56, 4 Y 3.56
Dy11 0.5000 0.5000 0.5000  8 Dy 3.55, 4 Y 3.56
Dy12 0.5000 0.5000 0.7485  8 Dy 3.55-3.56, 4 Y 3.56
Y1 0.0000 0.0000 0.2509  12 Dy 3.55-3.56
Y2 0.0000 0.0000 0.5000  12 Dy 3.55-3.56
Y3 0.0000 0.0000 0.7491  12 Dy 3.55-3.56

Summary:
E_form   0.021 eV per atom
SG   P4/mmm

***

Number 1: D(E_F) 1.2 states/eV/f.u., spin magnetization 0.00 μB per formula unit. Number 2: D(E_F) 7.8 states/eV/f.u., spin magnetization 3.14 μB per formula unit. Number 3: D(E_F) 5.1 states/eV/f.u., spin magnetization 0.00 μB per formula unit. Number 4: D(E_F) 2.6 states/eV/f.u., spin magnetization 0.00 μB per formula unit. Number 5: D(E_F) 5.4 states/eV/f.u., spin magnetization 0.00 μB per formula unit. Number 6: D(E_F) 1.5 states/eV/f.u., spin magnetization 0.00 μB per formula unit. Number 7: D(E_F) 21.5 states/eV/f.u., spin magnetization 0.00 μB per formula unit.